[1]
CuSi2Ru: relaxed, PBEsol.

ΔE_f (raw) = -0.22 eV per atom
Total magnetization = 0.00 μB/f.u.
Symmetry = I-4m2 (119)
DFT total energy = -6.715 eV/atom
N(E_F) = 1.314 states/eV/f.u.

Unit cell a=4.618 b=4.618 c=4.618 alpha=134.61 beta=134.61 gamma=66.14
Sites, in units of the cell vectors:
Cu 0.000 0.000 0.000
Si 0.250 0.750 0.500
Si 0.500 0.500 0.000
Ru 0.750 0.250 0.500

[2]
LiGePdW2: relaxed, PBEsol.

E_form = 1244 meV per atom
Total magnetization = 0.00 μB/f.u.
Symmetry = P4/mmm (123)
DFT total energy = -6.852 eV/atom
N(E_F) = 4.426 states/eV/f.u.

Unit cell a=4.226 b=4.226 c=4.029 alpha=90.00 beta=90.00 gamma=90.00
Sites, in units of the cell vectors:
Li 0.000 0.000 0.000
Ge 0.000 0.000 0.500
Pd 0.500 0.500 0.500
W 0.000 0.500 0.000
W 0.500 0.000 0.000

[3]
CaGa2Ge2: relaxed, PBEsol.

E_form = -299 meV per atom
Total magnetization = 0.00 μB/f.u.
Symmetry = I4/mmm (139)
DFT total energy = -4.037 eV/atom
N(E_F) = 1.346 states/eV/f.u.

Unit cell a=5.798 b=5.798 c=5.798 alpha=133.05 beta=133.05 gamma=68.57
Sites, in units of the cell vectors:
Ca 0.000 0.000 0.000
Ga 0.373 0.373 0.000
Ga 0.627 0.627 0.000
Ge 0.250 0.750 0.500
Ge 0.750 0.250 0.500

[4]
Ca3ZnCl: relaxed, PBEsol.

ΔE_f (raw) = -0.32 eV per atom
Total magnetization = 0.00 μB/f.u.
Symmetry = Pm-3m (221)
DFT total energy = -2.316 eV/atom
N(E_F) = 3.526 states/eV/f.u.

Unit cell a=5.631 b=5.631 c=5.631 alpha=90.00 beta=90.00 gamma=90.00
Sites, in units of the cell vectors:
Ca 0.000 0.000 0.500
Ca 0.000 0.500 0.000
Ca 0.500 0.000 0.000
Zn 0.000 0.000 0.000
Cl 0.500 0.500 0.500

[5]
CaCr2Mo: relaxed, PBEsol.

E_form = 917 meV per atom
Total magnetization = 3.54 μB/f.u.
Energy relative to the lowest polymorph listed for this composition = 0.2869 eV per atom
Symmetry = P4/mmm (123)
DFT total energy = -7.679 eV/atom
N(E_F) = 3.761 states/eV/f.u.

Unit cell a=4.505 b=4.505 c=3.126 alpha=90.00 beta=90.00 gamma=90.00
Sites, in units of the cell vectors:
Ca 0.000 0.000 0.000
Cr 0.000 0.500 0.500
Cr 0.500 0.000 0.500
Mo 0.500 0.500 0.000

[6]
ReTcRu3: relaxed, PBEsol.

E_form = 2163 meV per atom
Total magnetization = 4.31 μB/f.u.
Symmetry = Pm-3m (221)
DFT total energy = -8.860 eV/atom
N(E_F) = 7.214 states/eV/f.u.

Unit cell a=4.564 b=4.564 c=4.564 alpha=90.00 beta=90.00 gamma=90.00
Sites, in units of the cell vectors:
Re 0.000 0.000 0.000
Tc 0.500 0.500 0.500
Ru 0.000 0.000 0.500
Ru 0.000 0.500 0.000
Ru 0.500 0.000 0.000

[7]
SrCd2Tc: relaxed, PBEsol.

E_form = 490 meV per atom
Total magnetization = 1.45 μB/f.u.
Energy relative to the lowest polymorph listed for this composition = 0.1116 eV per atom
Symmetry = I4/mmm (139)
DFT total energy = -3.385 eV/atom
N(E_F) = 4.845 states/eV/f.u.

Unit cell a=5.371 b=5.371 c=5.371 alpha=131.20 beta=131.20 gamma=71.50
Sites, in units of the cell vectors:
Sr 0.000 0.000 0.000
Cd 0.250 0.750 0.500
Cd 0.750 0.250 0.500
Tc 0.500 0.500 0.000

[8]
LiZnHg2: relaxed, PBEsol.

E_form = -200 meV per atom
Total magnetization = 0.00 μB/f.u.
Symmetry = P4/mmm (123)
DFT total energy = -1.370 eV/atom
N(E_F) = 1.146 states/eV/f.u.

Unit cell a=3.411 b=3.411 c=6.116 alpha=90.00 beta=90.00 gamma=90.00
Sites, in units of the cell vectors:
Li 0.000 0.000 0.000
Zn 0.000 0.000 0.500
Hg 0.500 0.500 0.245
Hg 0.500 0.500 0.755